DFT (PBE) results for crystalline YBe9Nb2 at its relaxed geometry.

```
YBe9Nb2
1.0
4.6877 0.0000 0.0000
-2.3439 4.0597 0.0000
0.0000 0.0000 14.5820
Y Be Nb
2 18 4
Direct
0.3333 0.6667 0.2500
0.6667 0.3333 0.7500
0.0000 0.0000 0.0000
0.0000 0.0000 0.2500
0.0000 0.0000 0.5000
0.0000 0.0000 0.7500
0.1697 0.3394 0.6232
0.1697 0.3394 0.8768
0.1697 0.8303 0.6232
0.1697 0.8303 0.8768
0.3333 0.6667 0.7500
0.3394 0.1697 0.1232
0.3394 0.1697 0.3768
0.6606 0.8303 0.6232
0.6606 0.8303 0.8768
0.6667 0.3333 0.2500
0.8303 0.1697 0.1232
0.8303 0.1697 0.3768
0.8303 0.6606 0.1232
0.8303 0.6606 0.3768
0.3333 0.6667 0.0339
0.3333 0.6667 0.4661
0.6667 0.3333 0.5339
0.6667 0.3333 0.9661
```

VASP energy: -124.25 eV for the cell shown
DFT formation energy: -0.1654 eV per atom
Spin magnetization: 0.01 μB/cell
SG: P6_3/mmc, No. 194

DFT (PBE) results for crystalline YBeNb3 at its relaxed geometry.

```
YBeNb3
1.0
4.6258 0.0000 0.0000
0.0000 4.6258 0.0000
0.0000 0.0000 4.6258
Y Be Nb
1 1 3
Direct
0.0000 0.0000 0.0000
0.5000 0.5000 0.5000
0.0000 0.5000 0.5000
0.5000 0.0000 0.5000
0.5000 0.5000 0.0000
```

VASP energy: -37.73 eV for the cell shown
DFT formation energy: 0.5349 eV per atom
Spin magnetization: 0.00 μB/cell
SG: Pm-3m, No. 221

DFT (PBE) results for crystalline Y2BeNb at its relaxed geometry.

```
Y2BeNb
1.0
4.2128 0.0000 0.0000
0.0000 4.2128 0.0000
0.0000 0.0000 20.1919
Y Be Nb
8 4 4
Direct
0.2428 0.2500 0.1250
0.2500 0.7428 0.3750
0.2500 0.7572 0.8750
0.2572 0.2500 0.6250
0.7428 0.7500 0.6250
0.7500 0.2428 0.8750
0.7500 0.2572 0.3750
0.7572 0.7500 0.1250
0.0000 0.0000 0.0000
0.0000 0.5000 0.2500
0.5000 0.0000 0.7500
0.5000 0.5000 0.5000
0.0000 0.0000 0.5000
0.0000 0.5000 0.7500
0.5000 0.0000 0.2500
0.5000 0.5000 0.0000
```

VASP energy: -93.41 eV for the cell shown
DFT formation energy: 0.8431 eV per atom
Spin magnetization: 0.00 μB/cell
SG: I-42d, No. 122

DFT (PBE) results for crystalline BeNb2Zn at its relaxed geometry.

```
BeNb2Zn
1.0
6.9659 0.0000 0.0000
0.0000 6.9659 0.0000
0.0000 0.0000 5.2267
Be Nb Zn
4 8 4
Direct
0.0000 0.0000 0.0000
0.0000 0.5000 0.2500
0.5000 0.0000 0.7500
0.5000 0.5000 0.5000
0.2334 0.2500 0.1250
0.2500 0.7334 0.3750
0.2500 0.7666 0.8750
0.2666 0.2500 0.6250
0.7334 0.7500 0.6250
0.7500 0.2334 0.8750
0.7500 0.2666 0.3750
0.7666 0.7500 0.1250
0.0000 0.0000 0.5000
0.0000 0.5000 0.7500
0.5000 0.0000 0.2500
0.5000 0.5000 0.0000
```

VASP energy: -94.69 eV for the cell shown
DFT formation energy: 0.3669 eV per atom
Spin magnetization: 0.00 μB/cell
SG: I-42d, No. 122

DFT (PBE) results for crystalline BeNb2Zn at its relaxed geometry.

```
BeNb2Zn
1.0
2.7757 0.0000 0.0000
0.0000 2.7757 0.0000
0.0000 0.0000 7.7799
Be Nb Zn
1 2 1
Direct
0.0000 0.0000 0.0000
0.5000 0.5000 0.2225
0.5000 0.5000 0.7775
0.0000 0.0000 0.5000
```

VASP energy: -25.46 eV for the cell shown
DFT formation energy: -0.0800 eV per atom
Spin magnetization: 0.00 μB/cell
SG: P4/mmm, No. 123

DFT (PBE) results for crystalline Be17NbZn at its relaxed geometry.

```
Be17NbZn
1.0
3.6753 2.1219 3.6483
-3.6753 2.1219 3.6483
0.0000 -4.2439 3.6483
Be Nb Zn
17 1 1
Direct
0.0561 0.0561 0.0561
0.1448 0.1448 0.6606
0.1448 0.6606 0.1448
0.1625 0.4568 0.8515
0.1625 0.8515 0.4568
0.2556 0.2556 0.2556
0.3161 0.8176 0.8176
0.4568 0.1625 0.8515
0.4568 0.8515 0.1625
0.5011 0.5011 0.9977
0.5011 0.9977 0.5011
0.6606 0.1448 0.1448
0.8176 0.3161 0.8176
0.8176 0.8176 0.3161
0.8515 0.1625 0.4568
0.8515 0.4568 0.1625
0.9977 0.5011 0.5011
0.8228 0.8228 0.8228
0.5469 0.5469 0.5469
```

VASP energy: -76.11 eV for the cell shown
DFT formation energy: -0.0747 eV per atom
Spin magnetization: 0.00 μB/cell
SG: R3m, No. 160

DFT (PBE) results for crystalline BeNb2Zn2 at its relaxed geometry.

```
BeNb2Zn2
1.0
6.4386 0.0000 0.0000
0.0000 6.4386 0.0000
0.0000 0.0000 4.0218
Be Nb Zn
2 4 4
Direct
0.0000 0.0000 0.0000
0.5000 0.5000 0.0000
0.1526 0.3474 0.0000
0.3474 0.8474 0.0000
0.6526 0.1526 0.0000
0.8474 0.6526 0.0000
0.1523 0.6523 0.5000
0.3477 0.1523 0.5000
0.6523 0.8477 0.5000
0.8477 0.3477 0.5000
```

VASP energy: -48.57 eV for the cell shown
DFT formation energy: 0.4260 eV per atom
Spin magnetization: 0.00 μB/cell
SG: P4/mbm, No. 127

DFT (PBE) results for crystalline BeNb2Zn at its relaxed geometry.

```
BeNb2Zn
1.0
6.2225 0.0000 0.0000
0.0000 6.2225 0.0000
0.0000 0.0000 6.2225
Be Nb Zn
4 8 4
Direct
0.0000 0.0000 0.0000
0.0000 0.5000 0.5000
0.5000 0.0000 0.5000
0.5000 0.5000 0.0000
0.2500 0.2500 0.2500
0.2500 0.2500 0.7500
0.2500 0.7500 0.2500
0.2500 0.7500 0.7500
0.7500 0.2500 0.2500
0.7500 0.2500 0.7500
0.7500 0.7500 0.2500
0.7500 0.7500 0.7500
0.0000 0.0000 0.5000
0.0000 0.5000 0.0000
0.5000 0.0000 0.0000
0.5000 0.5000 0.5000
```

VASP energy: -98.47 eV for the cell shown
DFT formation energy: 0.1304 eV per atom
Spin magnetization: 0.00 μB/cell
SG: Fm-3m, No. 225